1.
A relaxed Sm6CuHg5 crystal. Source: the Alexandria database, functional PBE.

Calculated values
**Volume**: 26.6 Å³ per atom
**Energy relative to the elements**: -0.409 eV/atom
**Uncorrected energy**: -3.235 eV/atom

Structure (POSCAR):
```
Sm6CuHg5
1.0
8.367 -3.792 0.000
8.367 3.792 0.000
-1.670 0.000 5.035
Sm Cu Hg
6 1 5
Direct
0.081 0.595 0.338
0.237 0.763 0.000
0.405 0.919 0.662
0.595 0.081 0.338
0.763 0.237 0.000
0.919 0.405 0.662
0.000 0.000 0.500
0.172 0.172 0.172
0.333 0.333 0.833
0.500 0.500 0.500
0.667 0.667 0.167
0.828 0.828 0.828
```

2.
A relaxed NbCr3Cl crystal. Source: the Alexandria database, functional PBE.

Calculated values
**Volume**: 20.2 Å³ per atom
**Excess energy over the best structure of this formula in the dataset**: 1331 meV/atom
**Uncorrected energy**: -6.030 eV/atom
**Energy relative to the elements, uncorrected**: 2.13 eV/atom

Structure (POSCAR):
```
NbCr3Cl
1.0
4.658 0.000 0.000
0.000 4.658 0.000
0.000 0.000 4.658
Nb Cr Cl
1 3 1
Direct
0.000 0.000 0.000
0.000 0.000 0.500
0.000 0.500 0.000
0.500 0.000 0.000
0.500 0.500 0.500
```

3.
A relaxed Li2TaHg crystal. Source: the Alexandria database, functional PBE.

Calculated values
**Volume**: 17.8 Å³ per atom
**Energy relative to the elements**: 0.491 eV/atom
**Uncorrected energy**: -3.505 eV/atom

Structure (POSCAR):
```
Li2TaHg
1.0
-2.035 2.035 4.309
2.035 -2.035 4.309
2.035 2.035 -4.309
Li Ta Hg
2 1 1
Direct
0.250 0.750 0.500
0.750 0.250 0.500
0.000 0.000 0.000
0.500 0.500 0.000
```